# 1
Below is a geometry-optimized Rb3ErTm2Se6 structure, with properties calculated at the PBE level.

CIF file:
```
data_Rb3ErTm2Se6
_chemical_formula_sum 'Rb6 Er2 Tm4 Se12'
_cell_length_a 7.2704
_cell_length_b 12.5928
_cell_length_c 8.3442
_cell_angle_alpha 90.00
_cell_angle_beta 106.89
_cell_angle_gamma 90.00
_space_group_name_H-M_alt 'C 1 2/m 1'
_space_group_IT_number 12
_space_group_name_Hall '-C 2y'
loop_
_atom_site_label
_atom_site_type_symbol
_atom_site_fract_x
_atom_site_fract_y
_atom_site_fract_z
Rb1 Rb 0.0000 0.0000 0.0000
Rb2 Rb 0.0000 0.3334 0.0000
Er1 Er 0.0000 0.5000 0.5000
Tm1 Tm 0.0000 0.1667 0.5000
Se1 Se 0.2302 0.0000 0.6935
Se2 Se 0.2317 0.3328 0.6935
```

=====

# 2
Below is a geometry-optimized Rb4Er3TmSe8 structure, with properties calculated at the PBE level.

CIF file:
```
data_Rb4Er3TmSe8
_chemical_formula_sum 'Rb12 Er9 Tm3 Se24'
_cell_length_a 8.4097
_cell_length_b 8.4097
_cell_length_c 23.9572
_cell_angle_alpha 90.00
_cell_angle_beta 90.00
_cell_angle_gamma 120.00
_space_group_name_H-M_alt 'R -3 m'
_space_group_IT_number 166
_space_group_name_Hall '-R 3 2"'
loop_
_atom_site_label
_atom_site_type_symbol
_atom_site_fract_x
_atom_site_fract_y
_atom_site_fract_z
Rb1 Rb 0.0000 0.0000 0.0000
Rb2 Rb 0.0000 0.5000 0.0000
Er1 Er 0.0000 0.5000 0.5000
Tm1 Tm 0.0000 0.0000 0.5000
Se1 Se 0.0000 0.0000 0.2314
Se2 Se 0.0010 0.5005 0.2312
```

=====

# 3
Below is a geometry-optimized Rb3Er2TmSe6 structure, with properties calculated at the PBE level.

CIF file:
```
data_Rb3Er2TmSe6
_chemical_formula_sum 'Rb6 Er4 Tm2 Se12'
_cell_length_a 7.2801
_cell_length_b 12.6096
_cell_length_c 8.3460
_cell_angle_alpha 90.00
_cell_angle_beta 106.91
_cell_angle_gamma 90.00
_space_group_name_H-M_alt 'C 1 2/m 1'
_space_group_IT_number 12
_space_group_name_Hall '-C 2y'
loop_
_atom_site_label
_atom_site_type_symbol
_atom_site_fract_x
_atom_site_fract_y
_atom_site_fract_z
Rb1 Rb 0.0000 0.0000 0.0000
Rb2 Rb 0.0000 0.3330 0.0000
Er1 Er 0.0000 0.1666 0.5000
Tm1 Tm 0.0000 0.5000 0.5000
Se1 Se 0.2307 0.3339 0.6937
Se2 Se 0.2324 0.0000 0.6939
```

=====

# 4
Below is a geometry-optimized RbErTm4Se8 structure, with properties calculated at the PBE level.

CIF file:
```
data_RbErTm4Se8
_chemical_formula_sum 'Rb3 Er3 Tm12 Se24'
_cell_length_a 8.5384
_cell_length_b 8.5384
_cell_length_c 21.0152
_cell_angle_alpha 90.00
_cell_angle_beta 90.00
_cell_angle_gamma 120.00
_space_group_name_H-M_alt 'R 3 m'
_space_group_IT_number 160
_space_group_name_Hall 'R 3 -2"'
loop_
_atom_site_label
_atom_site_type_symbol
_atom_site_fract_x
_atom_site_fract_y
_atom_site_fract_z
Rb1 Rb 0.0000 0.0000 0.0000
Er1 Er 0.0000 0.0000 0.6317
Tm1 Tm 0.0000 0.0000 0.2515
Tm2 Tm 0.1730 0.3461 0.4580
Se1 Se 0.0000 0.0000 0.3836
Se2 Se 0.0000 0.0000 0.8577
Se3 Se 0.0470 0.5235 0.3830
Se4 Se 0.1763 0.3526 0.2072
```

=====

# 5
Below is a geometry-optimized Rb2ErTmSe4 structure, with properties calculated at the PBE level.

CIF file:
```
data_Rb2ErTmSe4
_chemical_formula_sum 'Rb2 Er1 Tm1 Se4'
_cell_length_a 7.2747
_cell_length_b 4.2013
_cell_length_c 8.3432
_cell_angle_alpha 90.00
_cell_angle_beta 106.88
_cell_angle_gamma 90.00
_space_group_name_H-M_alt 'P 1 2/m 1'
_space_group_IT_number 10
_space_group_name_Hall '-P 2y'
loop_
_atom_site_label
_atom_site_type_symbol
_atom_site_fract_x
_atom_site_fract_y
_atom_site_fract_z
Rb1 Rb 0.0000 0.0000 0.0000
Rb2 Rb 0.5000 0.5000 0.0000
Er1 Er 0.0000 0.5000 0.5000
Tm1 Tm 0.5000 0.0000 0.5000
Se1 Se 0.2322 0.0000 0.6938
Se2 Se 0.2699 0.5000 0.3066
```

=====

# 6
Below is a geometry-optimized Rb3ErTm3Se8 structure, with properties calculated at the PBE level.

CIF file:
```
data_Rb3ErTm3Se8
_chemical_formula_sum 'Rb9 Er3 Tm9 Se24'
_cell_length_a 8.2280
_cell_length_b 8.2280
_cell_length_c 24.5803
_cell_angle_alpha 90.00
_cell_angle_beta 90.00
_cell_angle_gamma 120.00
_space_group_name_H-M_alt 'R -3 m'
_space_group_IT_number 166
_space_group_name_Hall '-R 3 2"'
loop_
_atom_site_label
_atom_site_type_symbol
_atom_site_fract_x
_atom_site_fract_y
_atom_site_fract_z
Rb1 Rb 0.0000 0.5000 0.0000
Er1 Er 0.0000 0.0000 0.5000
Tm1 Tm 0.0000 0.5000 0.5000
Se1 Se 0.0000 0.0000 0.2311
Se2 Se 0.0023 0.5011 0.7694
```

=====

# 7
Below is a geometry-optimized Rb3Er3TmSe8 structure, with properties calculated at the PBE level.

CIF file:
```
data_Rb3Er3TmSe8
_chemical_formula_sum 'Rb9 Er9 Tm3 Se24'
_cell_length_a 8.2510
_cell_length_b 8.2510
_cell_length_c 24.5931
_cell_angle_alpha 90.00
_cell_angle_beta 90.00
_cell_angle_gamma 120.00
_space_group_name_H-M_alt 'R -3 m'
_space_group_IT_number 166
_space_group_name_Hall '-R 3 2"'
loop_
_atom_site_label
_atom_site_type_symbol
_atom_site_fract_x
_atom_site_fract_y
_atom_site_fract_z
Rb1 Rb 0.0000 0.5000 0.0000
Er1 Er 0.0000 0.5000 0.5000
Tm1 Tm 0.0000 0.0000 0.5000
Se1 Se 0.0000 0.0000 0.2314
Se2 Se 0.0000 0.5000 0.2306
```

=====

# 8
Below is a geometry-optimized Rb2ErUSe6 structure, with properties calculated at the PBE level.

CIF file:
```
data_Rb2ErUSe6
_chemical_formula_sum 'Rb4 Er2 U2 Se12'
_cell_length_a 7.7332
_cell_length_b 10.9359
_cell_length_c 7.7318
_cell_angle_alpha 90.00
_cell_angle_beta 90.00
_cell_angle_gamma 90.00
_space_group_name_H-M_alt 'P m m n'
_space_group_IT_number 59
loop_
_space_group_symop_operation_xyz
'x,y,z'
'-x,-y,-z'
'-x+1/2,-y+1/2,z'
'x+1/2,y+1/2,-z'
'x+1/2,-y,-z'
'-x+1/2,y,z'
'-x,y+1/2,-z'
'x,-y+1/2,z'
loop_
_atom_site_label
_atom_site_type_symbol
_atom_site_fract_x
_atom_site_fract_y
_atom_site_fract_z
Rb1 Rb 0.2500 0.9999 0.2504
Er1 Er 0.2500 0.2500 0.7492
U1 U 0.2500 0.7500 0.7508
Se1 Se 0.0051 0.7500 0.5062
Se2 Se 0.0054 0.7500 0.9956
Se3 Se 0.2500 0.5053 0.7507
```

=====

| no. | uncorrected energy (eV per atom) | formation energy from raw total energies (eV/atom) |
| --- | --- | --- |
| 1 | -4.837 | -1.727 |
| 2 | -4.849 | -1.730 |
| 3 | -4.846 | -1.729 |
| 4 | -5.356 | -1.693 |
| 5 | -4.841 | -1.728 |
| 6 | -4.913 | -1.662 |
| 7 | -4.927 | -1.664 |
| 8 | -5.099 | -1.230 |